Density functional theory data (PBE) for crystalline ZrTcAg at its relaxed geometry.

Values from the calculation:
total energy: -7.053 eV per atom
SG: P3m1 (156)
energy of formation: 0.202 eV per atom
distance to the lowest polymorph of the same formula: 0.1761 eV per atom

Unit cell a=4.784 b=4.784 c=2.696 alpha=90.00 beta=90.00 gamma=120.00
Element x y z (fractional)
Zr 0.000 0.000 0.000
Tc 0.667 0.333 0.691
Ag 0.333 0.667 0.337